(1)
{
  "formula": "TlTcHg2Ge",
  "functional": "PBE",
  "state": "optimized geometry",
  "lattice": [[5.2876, 0.0000, 0.0000], [0.0000, 5.2876, 0.0000], [0.0000, 0.0000, 4.9115]],
  "species": ["Tl", "Tc", "Hg", "Hg", "Ge"],
  "frac_coords": [[0.0000, 0.0000, 0.0000], [0.5000, 0.5000, 0.0000], [0.0000, 0.5000, 0.5000], [0.5000, 0.0000, 0.5000], [0.5000, 0.5000, 0.5000]],
  "n_ef_per_ev_cell": 3.2,
  "formation_enthalpy_0k_ev_per_fu": 3.6
}

---

(2)
{
  "formula": "TcHgGeW2",
  "functional": "PBE",
  "state": "optimized geometry",
  "lattice": [[4.6592, 0.0000, 0.0000], [0.0000, 4.6592, 0.0000], [0.0000, 0.0000, 4.7736]],
  "species": ["Tc", "Hg", "Ge", "W", "W"],
  "frac_coords": [[0.0000, 0.0000, 0.0000], [0.5000, 0.5000, 0.0000], [0.5000, 0.5000, 0.5000], [0.0000, 0.5000, 0.5000], [0.5000, 0.0000, 0.5000]],
  "n_ef_per_ev_cell": 4.1,
  "formation_enthalpy_0k_ev_per_fu": 10.0
}

---

(3)
{
  "formula": "ZnTcHgGe2",
  "functional": "PBE",
  "state": "optimized geometry",
  "lattice": [[4.7876, 0.0000, 0.0000], [0.0000, 4.7876, 0.0000], [0.0000, 0.0000, 5.0448]],
  "species": ["Zn", "Tc", "Hg", "Ge", "Ge"],
  "frac_coords": [[0.0000, 0.0000, 0.0000], [0.0000, 0.0000, 0.5000], [0.5000, 0.5000, 0.0000], [0.0000, 0.5000, 0.5000], [0.5000, 0.0000, 0.5000]],
  "n_ef_per_ev_cell": 1.6,
  "formation_enthalpy_0k_ev_per_fu": 1.1
}

---

(4)
{
  "formula": "Zr2TcHgGe",
  "functional": "PBE",
  "state": "optimized geometry",
  "lattice": [[5.3051, 0.0000, 0.0000], [0.0000, 5.3051, 0.0000], [0.0000, 0.0000, 4.6729]],
  "species": ["Zr", "Zr", "Tc", "Hg", "Ge"],
  "frac_coords": [[0.0000, 0.5000, 0.0000], [0.5000, 0.0000, 0.0000], [0.0000, 0.0000, 0.5000], [0.5000, 0.5000, 0.0000], [0.5000, 0.5000, 0.5000]],
  "n_ef_per_ev_cell": 4.6,
  "formation_enthalpy_0k_ev_per_fu": 7.6
}

---

(5)
{
  "formula": "Hg12Ge3Te5",
  "functional": "PBE",
  "state": "optimized geometry",
  "lattice": [[-8.5328, 8.5328, 8.5328], [8.5328, -8.5328, 8.5328], [8.5328, 8.5328, -8.5328]],
  "species": ["Hg", "Hg", "Hg", "Hg", "Hg", "Hg", "Hg", "Hg", "Hg", "Hg", "Hg", "Hg", "Hg", "Hg", "Hg", "Hg", "Hg", "Hg", "Hg", "Hg", "Hg", "Hg", "Hg", "Hg", "Hg", "Hg", "Hg", "Hg", "Hg", "Hg", "Hg", "Hg", "Hg", "Hg", "Hg", "Hg", "Hg", "Hg", "Hg", "Hg", "Hg", "Hg", "Hg", "Hg", "Hg", "Hg", "Hg", "Hg", "Ge", "Ge", "Ge", "Ge", "Ge", "Ge", "Ge", "Ge", "Ge", "Ge", "Ge", "Ge", "Te", "Te", "Te", "Te", "Te", "Te", "Te", "Te", "Te", "Te", "Te", "Te", "Te", "Te", "Te", "Te", "Te", "Te", "Te", "Te"],
  "frac_coords": [[0.0631, 0.6348, 0.3916], [0.0631, 0.9282, 0.6715], [0.0718, 0.2432, 0.1348], [0.0718, 0.3285, 0.9369], [0.1084, 0.7432, 0.6715], [0.1084, 0.8652, 0.4369], [0.1348, 0.0718, 0.2432], [0.1348, 0.5631, 0.8916], [0.1715, 0.2432, 0.6084], [0.1715, 0.4282, 0.5631], [0.2432, 0.1348, 0.0718], [0.2432, 0.6084, 0.1715], [0.2568, 0.3285, 0.8916], [0.2568, 0.4282, 0.3652], [0.3285, 0.8916, 0.2568], [0.3285, 0.9369, 0.0718], [0.3652, 0.2568, 0.4282], [0.3652, 0.6084, 0.9369], [0.3916, 0.0631, 0.6348], [0.3916, 0.8285, 0.7568], [0.4282, 0.3652, 0.2568], [0.4282, 0.5631, 0.1715], [0.4369, 0.1084, 0.8652], [0.4369, 0.8285, 0.5718], [0.5631, 0.1715, 0.4282], [0.5631, 0.8916, 0.1348], [0.5718, 0.4369, 0.8285], [0.5718, 0.6348, 0.7432], [0.6084, 0.1715, 0.2432], [0.6084, 0.9369, 0.3652], [0.6348, 0.3916, 0.0631], [0.6348, 0.7432, 0.5718], [0.6715, 0.0631, 0.9282], [0.6715, 0.1084, 0.7432], [0.7432, 0.5718, 0.6348], [0.7432, 0.6715, 0.1084], [0.7568, 0.3916, 0.8285], [0.7568, 0.8652, 0.9282], [0.8285, 0.5718, 0.4369], [0.8285, 0.7568, 0.3916], [0.8652, 0.4369, 0.1084], [0.8652, 0.9282, 0.7568], [0.8916, 0.1348, 0.5631], [0.8916, 0.2568, 0.3285], [0.9282, 0.6715, 0.0631], [0.9282, 0.7568, 0.8652], [0.9369, 0.0718, 0.3285], [0.9369, 0.3652, 0.6084], [0.1250, 0.2500, 0.3750], [0.1250, 0.3750, 0.7500], [0.2500, 0.3750, 0.1250], [0.2500, 0.8750, 0.6250], [0.3750, 0.1250, 0.2500], [0.3750, 0.7500, 0.1250], [0.6250, 0.2500, 0.8750], [0.6250, 0.8750, 0.7500], [0.7500, 0.1250, 0.3750], [0.7500, 0.6250, 0.8750], [0.8750, 0.6250, 0.2500], [0.8750, 0.7500, 0.6250], [0.0000, 0.0000, 0.0000], [0.0000, 0.0000, 0.5000], [0.0000, 0.5000, 0.0000], [0.0000, 0.5000, 0.5000], [0.1250, 0.7500, 0.8750], [0.1250, 0.8750, 0.2500], [0.2500, 0.1250, 0.8750], [0.2500, 0.6250, 0.3750], [0.3750, 0.2500, 0.6250], [0.3750, 0.6250, 0.7500], [0.5000, 0.0000, 0.0000], [0.5000, 0.0000, 0.5000], [0.5000, 0.5000, 0.0000], [0.5000, 0.5000, 0.5000], [0.6250, 0.3750, 0.2500], [0.6250, 0.7500, 0.3750], [0.7500, 0.3750, 0.6250], [0.7500, 0.8750, 0.1250], [0.8750, 0.1250, 0.7500], [0.8750, 0.2500, 0.1250]],
  "e_form_raw_mev_per_atom": 128,
  "n_ef_per_ev_cell": 44.0
}

---

(6)
{
  "formula": "Hg3GeTe",
  "functional": "PBE",
  "state": "optimized geometry",
  "lattice": [[5.8231, 0.0000, 0.0000], [0.0000, 5.8231, 0.0000], [0.0000, 0.0000, 5.8231]],
  "species": ["Hg", "Hg", "Hg", "Ge", "Te"],
  "frac_coords": [[0.0000, 0.0000, 0.5000], [0.0000, 0.5000, 0.0000], [0.5000, 0.0000, 0.0000], [0.5000, 0.5000, 0.5000], [0.0000, 0.0000, 0.0000]],
  "e_form_raw_mev_per_atom": 664,
  "n_ef_per_ev_cell": 3.8
}